[1]
A plane-wave DFT calculation with PBE was carried out for a relaxed structure of AgPbBr2.

Cell: 3.6874 4.7552 12.9984 Å, 90.00 90.00 90.00°
Closest atoms and distances in Å follow each position.
Space group Imm2 (No. 44)
Inequivalent atoms, fractional coordinates:
1 Ag 0.0000 0.0000 0.0000 [2 per cell]  6 Br 2.90-3.08, 2 Pb 3.17
2 Pb 0.0000 0.5000 0.6984 [2 per cell]  2 Br 3.07, 2 Ag 3.17
3 Br 0.0000 0.0000 0.5495 [2 per cell]  2 Pb 3.07, 4 Ag 3.08
4 Br 0.0000 0.5000 0.3279 [2 per cell]  2 Ag 2.90

Computed properties:
DFT total energy ... -2.8249 eV/atom
Excess energy over the best structure of this formula in the dataset ... 0 meV/atom
Formation energy without anion corrections ... -0.3486 eV per atom
D(E_F) ... 2.093 states/eV per cell
Crystal system ... orthorhombic

[2]
A plane-wave DFT calculation with PBE was carried out for a relaxed structure of Ag4PbBr6.

Cell: 7.8771 7.7671 11.0401 Å, 90.00 100.52 90.00°
Closest atoms and distances in Å follow each position.
Space group Cm (No. 8)
Inequivalent atoms, fractional coordinates:
1 Ag 0.0000 0.0000 0.0000 [2 per cell]  5 Br 2.72-2.89
2 Ag 0.0072 0.5000 0.0010 [2 per cell]  5 Br 2.71-2.89
3 Ag 0.3422 0.2486 0.3256 [4 per cell]  5 Br 2.70-2.89
4 Pb 0.1748 0.0000 0.6854 [2 per cell]  6 Br 3.02-3.21
5 Br 0.0703 0.0000 0.2507 [2 per cell]  5 Ag 2.72-2.89
6 Br 0.0725 0.5000 0.2504 [2 per cell]  5 Ag 2.71-2.89
7 Br 0.2342 0.2464 0.9231 [4 per cell]  4 Ag 2.89, 1 Pb 3.21
8 Br 0.3964 0.2504 0.5744 [4 per cell]  1 Ag 2.70, 2 Pb 3.02

Computed properties:
DFT total energy ... -2.7273 eV/atom
Formation energy without anion corrections ... -0.4409 eV per atom
Crystal system ... monoclinic

[3]
A plane-wave DFT calculation with PBE was carried out for a relaxed structure of Ag2PbBr.

Cell: 15.6769 3.5620 3.5854 Å, 90.00 90.13 90.00°
Closest atoms and distances in Å follow each position.
Space group Cm (No. 8)
Inequivalent atoms, fractional coordinates:
1 Ag 0.0000 0.0000 0.0000 [2 per cell]  4 Ag 2.91, 1 Br 3.09, 4 Pb 3.12
2 Ag 0.0922 0.5000 0.5007 [2 per cell]  4 Ag 2.91, 4 Br 3.01-3.02
3 Pb 0.3832 0.0000 0.4978 [2 per cell]  5 Ag 3.12-3.28, 2 Br 3.42-3.43
4 Br 0.1968 0.0000 0.9990 [2 per cell]  5 Ag 3.01-3.09

Computed properties:
DFT total energy ... -2.8476 eV/atom
Excess energy over the best structure of this formula in the dataset ... 3 meV/atom
Formation energy without anion corrections ... -0.0767 eV per atom
D(E_F) ... 3.360 states/eV per cell
Crystal system ... monoclinic